No. 1
Below is a relaxed K2BaTl crystal, with properties calculated at the PBE level.

Cell lengths 13.1843, 13.1843, 13.1843 Å; angles 19.71, 19.71, 19.71 degrees
Last column: nearest neighbours and their distance in Å.
Sites, in units of the cell vectors:
K (0.0000, 0.0000, 0.0000)  9 K 4.51-4.73, 3 Ba 4.74
K (0.2314, 0.2314, 0.2314)  3 Tl 3.64
Ba (0.7689, 0.7689, 0.7689)  3 Tl 3.59
Tl (0.4993, 0.4993, 0.4993)  3 Ba 3.59, 3 K 3.64

The calculated total energy comes out at -6.591 eV per cell. Its offset from the most stable computed form is 88 meV per atom.


No. 2
Below is a relaxed KBa4Tl crystal, with properties calculated at the PBE level.

Cell lengths 7.9244, 7.9244, 7.9244 Å; angles 60.00, 60.00, 60.00 degrees
Last column: nearest neighbours and their distance in Å.
Sites, in units of the cell vectors:
K (0.0000, 0.0000, 0.0000)  12 Ba 4.65, 4 Tl 4.85
Ba (0.3763, 0.3763, 0.3763)  6 Ba 3.92-4.00
Ba (0.3763, 0.3763, 0.8710)  6 Ba 3.92-4.00
Ba (0.3763, 0.8710, 0.3763)  6 Ba 3.92-4.00
Ba (0.8710, 0.3763, 0.3763)  6 Ba 3.92-4.00
Tl (0.7500, 0.7500, 0.7500)  12 Ba 4.64, 4 K 4.85

The calculated total energy comes out at -9.615 eV per cell.


No. 3
Below is a relaxed KBa2Tl crystal, with properties calculated at the PBE level.

Cell lengths 8.3202, 8.3202, 6.3592 Å; angles 112.42, 112.42, 30.49 degrees
Last column: nearest neighbours and their distance in Å.
Sites, in units of the cell vectors:
K (0.0000, 0.0000, 0.0000)  2 Tl 3.66
Ba (0.6147, 0.6147, 0.6142)  2 Tl 3.51
Ba (0.8110, 0.8110, 0.3104)  4 Tl 3.86, 2 K 4.22-4.23, 2 Ba 4.30
Tl (0.3012, 0.3012, 0.8011)  6 Ba 3.51-3.86, 2 K 3.66

The calculated total energy comes out at -7.720 eV per cell.


No. 4
Below is a relaxed K2BaTl crystal, with properties calculated at the PBE level.

Cell lengths 4.3463, 4.3463, 11.2870 Å; angles 90.00, 90.00, 90.00 degrees
Last column: nearest neighbours and their distance in Å.
Sites, in units of the cell vectors:
K (0.0000, 0.0000, 0.1898)  4 Tl 3.75
K (0.0000, 0.0000, 0.8102)  4 Tl 3.75
Ba (0.5000, 0.5000, 0.5000)  4 Ba 4.35, 8 K 4.66
Tl (0.5000, 0.5000, 0.0000)  8 K 3.75

The calculated total energy comes out at -6.203 eV per cell. Its offset from the most stable computed form is 185 meV per atom.


It is found that the formation enthalpy at 0 K values, taken in the order of the records, are -0.027; 0.257; -0.103; 0.070 eV per atom.
It is found that the volume values, taken in the order of the records, are 227.9; 351.9; 205.2; 213.2 Å³/f.u..